Material: La6RhAu5
Method: DFT, PBE-GGA
State: optimized geometry

As for the space group: C2/m. The value obtained for the formation energy is -0.763 eV/atom. Its total energy is -5.205 eV per atom. The crystal system is monoclinic.

abc: 5.284 7.510 9.194
angles: 65.89 73.17 90.00
Positions (direct):
Rh: 0.000 0.000 0.000
La: 0.159 0.402 0.681
La: 0.500 0.236 0.000
La: 0.500 0.764 0.000
Au: 0.334 0.334 0.333
Au: 0.680 0.180 0.639
Au: 0.666 0.666 0.667
La: 0.159 0.917 0.681
Au: 0.320 0.820 0.361
La: 0.841 0.083 0.319
Au: 0.000 0.500 0.000
La: 0.841 0.598 0.319

Material: ScP2Cl
Method: DFT, PBE-GGA
State: optimized geometry

As for the space group: I4/mmm. Its total energy is -5.327 eV per atom. The energy relative to the lowest polymorph listed for this composition comes out at 34.1 kJ per mole of atoms. The crystal system is tetragonal.

abc: 5.924 5.924 5.924
angles: 144.87 144.87 50.53
Positions (direct):
P: 0.500 0.500 0.000
Sc: 0.250 0.750 0.500
Cl: 0.750 0.250 0.500
P: 0.000 0.000 0.000

Material: RbVFe3
Method: DFT, PBE-GGA
State: optimized geometry

As for the space group: Pm-3m. The value obtained for the formation energy is 2.698 eV/atom. Its total energy is -4.397 eV per atom. The energy relative to the lowest polymorph listed for this composition comes out at 135.3 kJ per mole of atoms. The crystal system is cubic.

abc: 4.594 4.594 4.594
angles: 90.00 90.00 90.00
Each line ends with the local moment (μB).
Positions (direct):
V: 0.500 0.500 0.500  -2.73
Fe: 0.000 0.000 0.500  2.51
Fe: 0.000 0.500 0.000  2.51
Rb: 0.000 0.000 0.000  -0.02
Fe: 0.500 0.000 0.000  2.51

Material: TiTl2V
Method: DFT, PBE-GGA
State: optimized geometry

As for the space group: I-42d. The value obtained for the formation energy is 0.665 eV/atom. Its total energy is -4.771 eV per atom. The energy relative to the lowest polymorph listed for this composition comes out at 24.4 kJ per mole of atoms. The crystal system is tetragonal.

abc: 7.569 7.569 6.115
angles: 51.76 51.76 90.00
Each line ends with the local moment (μB).
Positions (direct):
Tl: 0.117 0.625 0.250  -0.01
Ti: 0.250 0.750 0.500  -0.20
V: 0.750 0.250 0.500  0.49
Ti: 0.500 0.500 0.000  -0.20
Tl: 0.875 0.883 0.750  -0.01
Tl: 0.633 0.125 0.250  -0.01
Tl: 0.375 0.367 0.750  -0.01
V: 0.000 0.000 0.000  0.49

Material: ZrCoPb3
Method: DFT, PBE-GGA
State: optimized geometry

As for the space group: Pm-3m. The value obtained for the formation energy is 0.588 eV/atom. Its total energy is -4.768 eV per atom. The energy relative to the lowest polymorph listed for this composition comes out at 0.0 kJ per mole of atoms. The crystal system is cubic.

abc: 5.049 5.049 5.049
angles: 90.00 90.00 90.00
Positions (direct):
Pb: 0.000 0.000 0.500
Co: 0.000 0.000 0.000
Pb: 0.000 0.500 0.000
Zr: 0.500 0.500 0.500
Pb: 0.500 0.000 0.000

Material: UH6PdRh
Method: DFT, PBE-GGA
State: optimized geometry

As for the space group: P-6m2. Its total energy is -5.012 eV per atom. The crystal system is hexagonal.

abc: 4.700 4.700 4.161
angles: 90.00 90.00 60.00
Each line ends with the local moment (μB).
Positions (direct):
H: 0.015 0.492 0.218  -0.01
H: 0.492 0.015 0.782  -0.01
U: 0.000 0.000 0.000  2.30
Pd: 0.667 0.667 0.500  -0.07
H: 0.492 0.493 0.218  -0.01
Rh: 0.333 0.333 0.500  -0.06
H: 0.015 0.493 0.782  -0.01
H: 0.493 0.492 0.782  -0.01
H: 0.493 0.015 0.218  -0.01

Material: TbPrAlNi
Method: DFT, PBE-GGA
State: optimized geometry

As for the space group: F-43m. The value obtained for the formation energy is -0.225 eV/atom. Its total energy is -4.959 eV per atom. The crystal system is cubic.

abc: 5.094 5.094 5.094
angles: 60.00 60.00 60.00
Positions (direct):
Ni: 0.250 0.250 0.250
Al: 0.750 0.750 0.750
Tb: 0.500 0.500 0.500
Pr: 0.000 0.000 0.000

Material: Eu3Mg
Method: DFT, PBE-GGA
State: optimized geometry

As for the space group: Fm-3m. The value obtained for the formation energy is 0.051 eV/atom. Its total energy is -8.054 eV per atom. The energy relative to the lowest polymorph listed for this composition comes out at 5.8 kJ per mole of atoms. The crystal system is cubic.

abc: 5.936 5.936 5.936
angles: 60.00 60.00 60.00
Each line ends with the local moment (μB).
Positions (direct):
Eu: 0.750 0.750 0.750  6.89
Eu: 0.500 0.500 0.500  -6.87
Mg: 0.000 0.000 0.000  0.00
Eu: 0.250 0.250 0.250  6.89

Material: SrLi2IrF8
Method: DFT, PBE-GGA
State: optimized geometry

As for the space group: P-1. Its total energy is -4.993 eV per atom. The crystal system is triclinic.

abc: 4.672 5.058 7.170
angles: 83.23 85.06 82.88
Each line ends with the local moment (μB).
Positions (direct):
Sr: 0.000 0.000 0.500  0.00
F: 0.365 0.294 0.496  0.00
F: 0.708 0.756 0.040  0.09
F: 0.194 0.781 0.803  0.03
Li: 0.464 0.462 0.710  0.00
Ir: 0.000 0.000 0.000  0.70
F: 0.292 0.244 0.960  0.09
F: 0.635 0.706 0.504  0.00
F: 0.806 0.219 0.197  0.03
F: 0.817 0.226 0.784  0.01
F: 0.183 0.774 0.216  0.01
Li: 0.536 0.538 0.290  0.00

Material: AgGeF5
Method: DFT, PBE-GGA
State: optimized geometry

As for the space group: C2/c. Its total energy is -4.432 eV per atom. The energy relative to the lowest polymorph listed for this composition comes out at 1.0 kJ per mole of atoms. The crystal system is monoclinic.

abc: 5.638 5.638 7.712
angles: 71.56 71.56 74.01
Each line ends with the local moment (μB).
Positions (direct):
F: 0.217 0.697 0.498  0.00
Ge: 0.000 0.000 0.000  0.00
Ag: 0.519 0.481 0.250  0.08
F: 0.157 0.265 0.897  0.00
F: 0.843 0.735 0.103  0.00
F: 0.265 0.157 0.397  0.00
F: 0.783 0.303 0.502  0.00
F: 0.035 0.965 0.750  0.00
Ge: 0.000 0.000 0.500  0.00
F: 0.697 0.217 0.998  0.00
F: 0.965 0.035 0.250  0.00
F: 0.735 0.843 0.603  0.00
Ag: 0.481 0.519 0.750  0.08
F: 0.303 0.783 0.002  0.00

Material: K2Os
Method: DFT, PBE-GGA
State: optimized geometry

As for the space group: Cmcm. The value obtained for the formation energy is 0.690 eV/atom. Its total energy is -3.785 eV per atom. The energy relative to the lowest polymorph listed for this composition comes out at 0.0 kJ per mole of atoms. The crystal system is orthorhombic.

abc: 18.079 18.079 3.912
angles: 90.00 90.00 169.76
Positions (direct):
Os: 0.746 0.254 0.250
K: 0.054 0.946 0.250
K: 0.946 0.054 0.750
K: 0.330 0.670 0.250
Os: 0.254 0.746 0.750
K: 0.670 0.330 0.750

Material: HgPbN2
Method: DFT, PBE-GGA
State: optimized geometry

As for the space group: R-3m. Its total energy is -4.272 eV per atom. The energy relative to the lowest polymorph listed for this composition comes out at 69.2 kJ per mole of atoms. The crystal system is trigonal.

abc: 6.723 6.723 6.723
angles: 30.91 30.91 30.91
Positions (direct):
N: 0.108 0.108 0.108
N: 0.892 0.892 0.892
Pb: 0.500 0.500 0.500
Hg: 0.000 0.000 0.000

Material: MgCr4Rh
Method: DFT, PBE-GGA
State: optimized geometry

As for the space group: F-43m. The value obtained for the formation energy is 0.150 eV/atom. Its total energy is -7.757 eV per atom. The crystal system is cubic.

abc: 4.808 4.808 4.808
angles: 60.00 60.00 60.00
Positions (direct):
Cr: 0.377 0.377 0.377
Cr: 0.868 0.377 0.377
Mg: 0.750 0.750 0.750
Cr: 0.377 0.377 0.868
Rh: 0.000 0.000 0.000
Cr: 0.377 0.868 0.377

Material: Ce2ZrSc
Method: DFT, PBE-GGA
State: optimized geometry

As for the space group: P4/mmm. The value obtained for the formation energy is 0.183 eV/atom. Its total energy is -6.504 eV per atom. The energy relative to the lowest polymorph listed for this composition comes out at 8.3 kJ per mole of atoms. The crystal system is tetragonal.

abc: 3.920 3.920 6.866
angles: 90.00 90.00 90.00
Each line ends with the local moment (μB).
Positions (direct):
Zr: 0.500 0.500 0.500  0.08
Sc: 0.500 0.500 0.000  0.02
Ce: 0.000 0.000 0.740  0.35
Ce: 0.000 0.000 0.260  0.35

Material: PrNd3Dy2S6
Method: DFT, PBE-GGA
State: optimized geometry

As for the space group: C2/m. Its total energy is -6.437 eV per atom. The crystal system is monoclinic.

abc: 6.962 6.962 6.980
angles: 99.55 99.55 120.14
Positions (direct):
S: 0.920 0.575 0.758
S: 0.575 0.920 0.758
Nd: 0.838 0.162 0.500
S: 0.265 0.265 0.762
Dy: 0.666 0.334 0.000
S: 0.735 0.735 0.238
S: 0.425 0.080 0.242
Pr: 0.000 0.000 0.000
Dy: 0.334 0.666 0.000
Nd: 0.500 0.500 0.500
S: 0.080 0.425 0.242
Nd: 0.162 0.838 0.500

Material: Na6SnHg3
Method: DFT, PBE-GGA
State: optimized geometry

As for the space group: P2_1/m. The value obtained for the formation energy is -0.146 eV/atom. Its total energy is -1.428 eV per atom. The energy relative to the lowest polymorph listed for this composition comes out at 4.6 kJ per mole of atoms. The crystal system is monoclinic.

abc: 3.452 12.724 13.158
angles: 98.53 90.00 90.00
Positions (direct):
Na: 0.750 0.409 0.096
Na: 0.750 0.487 0.649
Na: 0.250 0.513 0.351
Na: 0.750 0.108 0.458
Na: 0.750 0.767 0.313
Na: 0.750 0.822 0.072
Hg: 0.250 0.922 0.907
Na: 0.250 0.229 0.252
Hg: 0.250 0.621 0.144
Na: 0.750 0.771 0.748
Sn: 0.250 0.973 0.269
Na: 0.250 0.178 0.928
Hg: 0.750 0.379 0.856
Hg: 0.250 0.329 0.483
Na: 0.250 0.892 0.542
Hg: 0.750 0.078 0.093
Sn: 0.750 0.027 0.731
Hg: 0.750 0.671 0.517
Na: 0.250 0.591 0.904
Na: 0.250 0.233 0.687

Material: TbUInO6
Method: DFT, PBE-GGA
State: optimized geometry

As for the space group: P-31c. Its total energy is -8.147 eV per atom. The crystal system is trigonal.

abc: 5.566 5.566 9.867
angles: 90.00 90.00 120.00
Positions (direct):
O: 0.649 0.663 0.634
O: 0.649 0.986 0.866
O: 0.014 0.351 0.634
O: 0.663 0.014 0.366
U: 0.667 0.333 0.250
O: 0.337 0.986 0.634
O: 0.663 0.649 0.134
O: 0.986 0.337 0.134
In: 0.333 0.667 0.250
O: 0.014 0.663 0.866
O: 0.351 0.014 0.134
In: 0.667 0.333 0.750
O: 0.986 0.649 0.366
U: 0.333 0.667 0.750
O: 0.337 0.351 0.866
Tb: 0.000 0.000 0.000
O: 0.351 0.337 0.366
Tb: 0.000 0.000 0.500

Material: KO2F
Method: DFT, PBE-GGA
State: optimized geometry

As for the space group: Pmc2_1. Its total energy is -3.397 eV per atom. The energy relative to the lowest polymorph listed for this composition comes out at 106.3 kJ per mole of atoms. The crystal system is orthorhombic.

abc: 3.438 4.032 9.558
angles: 90.00 90.00 90.00
Each line ends with the local moment (μB).
Positions (direct):
F: 0.000 0.055 0.535  0.33
O: 0.000 0.725 0.831  1.51
O: 0.000 0.275 0.331  1.51
O: 0.500 0.957 0.299  1.51
K: 0.500 0.552 0.562  0.00
K: 0.500 0.448 0.062  0.00
O: 0.500 0.043 0.799  1.51
F: 0.000 0.945 0.035  0.33

Material: RbSc2Zn2
Method: DFT, PBE-GGA
State: optimized geometry

As for the space group: P4/mbm. The value obtained for the formation energy is 0.125 eV/atom. Its total energy is -3.111 eV per atom. The energy relative to the lowest polymorph listed for this composition comes out at 0.0 kJ per mole of atoms. The crystal system is tetragonal.

abc: 8.626 8.626 3.247
angles: 90.00 90.00 90.00
Positions (direct):
Sc: 0.374 0.874 0.000
Sc: 0.874 0.626 0.000
Zn: 0.336 0.164 0.500
Zn: 0.836 0.336 0.500
Zn: 0.164 0.664 0.500
Rb: 0.500 0.500 0.000
Rb: 0.000 0.000 0.000
Sc: 0.126 0.374 0.000
Sc: 0.626 0.126 0.000
Zn: 0.664 0.836 0.500

Material: LiTl3O2
Method: DFT, PBE-GGA
State: optimized geometry

As for the space group: C2/m. Its total energy is -4.040 eV per atom. The crystal system is monoclinic.

abc: 3.414 9.042 9.142
angles: 108.53 90.00 100.88
Positions (direct):
Tl: 0.943 0.886 0.768
Li: 0.542 0.084 0.629
Tl: 0.651 0.302 0.959
O: 0.422 0.845 0.558
O: 0.578 0.155 0.442
O: 0.916 0.833 0.238
Li: 0.458 0.916 0.371
Tl: 0.177 0.355 0.597
Tl: 0.349 0.698 0.041
O: 0.084 0.167 0.762
Tl: 0.823 0.645 0.403
Tl: 0.057 0.114 0.232

Material: GaMo4C
Method: DFT, PBE-GGA
State: optimized geometry

As for the space group: P2_1/c. The value obtained for the formation energy is 0.263 eV/atom. Its total energy is -9.000 eV per atom. The crystal system is monoclinic.

abc: 6.211 5.285 5.580
angles: 90.00 103.78 90.00
Positions (direct):
Mo: 0.107 0.403 0.855
Mo: 0.689 0.642 0.584
Mo: 0.311 0.358 0.416
Mo: 0.607 0.097 0.855
Mo: 0.393 0.903 0.145
Ga: 0.000 0.000 0.000
Mo: 0.189 0.858 0.584
Mo: 0.893 0.597 0.145
C: 0.000 0.500 0.500
Ga: 0.500 0.500 0.000
Mo: 0.811 0.142 0.416
C: 0.500 0.000 0.500

Material: Sm2InNi2Pt5
Method: DFT, PBE-GGA
State: optimized geometry

As for the space group: P4/mbm. The value obtained for the formation energy is -0.805 eV/atom. Its total energy is -6.199 eV per atom. The crystal system is tetragonal.

abc: 4.017 9.377 9.377
angles: 90.00 90.00 90.00
Positions (direct):
Sm: 0.000 0.174 0.326
Pt: 0.500 0.430 0.289
Ni: 0.000 0.122 0.622
Sm: 0.000 0.826 0.674
Pt: 0.500 0.789 0.930
Ni: 0.000 0.378 0.122
Ni: 0.000 0.878 0.378
In: 0.000 0.000 0.000
Pt: 0.500 0.570 0.711
Pt: 0.500 0.000 0.500
Pt: 0.500 0.930 0.211
Pt: 0.500 0.070 0.789
Pt: 0.500 0.211 0.070
Sm: 0.000 0.326 0.826
Pt: 0.500 0.500 0.000
Ni: 0.000 0.622 0.878
Sm: 0.000 0.674 0.174
Pt: 0.500 0.711 0.430
In: 0.000 0.500 0.500
Pt: 0.500 0.289 0.570